La3TlPd after structural relaxation. Source: Alexandria, functional PBE.

Energy of formation from the pure elements = -0.42 eV/atom
Raw total energy = -48.9 eV per cell
E above lowest polymorph = 0.00 kJ/mol of atoms
Mass density = 7.85 g/cm³
Fermi-level density of states = 0.99 states/eV per atom

Lattice parameters (Å, degrees): 7.8882 7.8882 5.7117 90.00 90.00 120.00
Space group P6_3/mmc (No. 194)
Unique sites:
La 0.1899 0.3798 0.2500 (multiplicity 6)
Tl 0.3333 0.6667 0.7500 (multiplicity 2)
Pd 0.0000 0.0000 0.0000 (multiplicity 2)